Entry 1:
! Na2SrAsH PBE relaxed; values from VASP
&SYSTEM
  ibrav = 0, nat = 5, ntyp = 4
/
ATOMIC_SPECIES
Na 22.99 Na.upf
H 1.01 H.upf
Sr 87.62 Sr.upf
As 74.92 As.upf
CELL_PARAMETERS angstrom
4.587 0.000 0.000
0.000 4.587 0.000
0.000 0.000 5.143
ATOMIC_POSITIONS crystal
Na 0.500 0.000 0.000
H 0.000 0.000 0.000
Sr 0.000 0.000 0.500
Na 0.000 0.500 0.000
As 0.500 0.500 0.500
! **SG**: P4/mmm
! **Calculated total energy**: -3.02 eV/atom
! **Size of the total moment**: 0.00 μB per formula unit


Entry 2:
! Tc2AuBr PBE relaxed; values from VASP
&SYSTEM
  ibrav = 0, nat = 8, ntyp = 3
/
ATOMIC_SPECIES
Tc 98.00 Tc.upf
Br 79.90 Br.upf
Au 196.97 Au.upf
CELL_PARAMETERS angstrom
-0.136 -5.229 1.192
5.273 -0.347 -0.922
3.712 -1.442 6.168
ATOMIC_POSITIONS crystal
Tc 0.875 0.844 0.750
Br 0.500 0.500 0.000
Br 0.250 0.750 0.500
Au 0.000 0.000 0.000
Tc 0.594 0.125 0.250
Au 0.750 0.250 0.500
Tc 0.156 0.625 0.250
Tc 0.375 0.406 0.750
! **DOS at the Fermi energy**: 4.377 states/eV/f.u.
! **SG**: I-42d
! **Calculated total energy**: -4.98 eV/atom
! **Size of the total moment**: 0.00 μB per formula unit


Entry 3:
! Pm5Nd3Bi8 PBE relaxed; values from VASP
&SYSTEM
  ibrav = 0, nat = 16, ntyp = 3
/
ATOMIC_SPECIES
Nd 144.24 Nd.upf
Bi 208.98 Bi.upf
Pm 145.00 Pm.upf
CELL_PARAMETERS angstrom
-6.297 -2.996 -5.972
2.454 -5.640 -6.815
-2.643 -8.791 0.140
ATOMIC_POSITIONS crystal
Nd 0.000 0.000 0.500
Bi 0.251 0.251 0.248
Nd 0.500 0.000 0.500
Pm 0.500 0.500 0.000
Bi 0.750 0.251 0.249
Bi 0.250 0.749 0.751
Pm 0.000 0.500 0.000
Bi 0.250 0.250 0.751
Nd 0.000 0.500 0.500
Pm 0.500 0.000 0.000
Bi 0.251 0.750 0.249
Bi 0.749 0.250 0.751
Bi 0.750 0.750 0.249
Pm 0.000 0.000 0.000
Bi 0.749 0.749 0.752
Pm 0.500 0.500 0.500
! **DOS at the Fermi energy**: 2.418 states/eV/f.u.
! **SG**: R-3m
! **Calculated total energy**: -5.26 eV/atom
! **Size of the total moment**: 0.00 μB per formula unit
! **DFT formation energy**: -0.9439 eV/atom


Entry 4:
! Mg4PaIn5 PBE relaxed; values from VASP
&SYSTEM
  ibrav = 0, nat = 10, ntyp = 3
/
ATOMIC_SPECIES
Mg 24.30 Mg.upf
In 114.82 In.upf
Pa 231.04 Pa.upf
CELL_PARAMETERS angstrom
-1.074 2.969 0.590
-1.535 0.005 -2.821
-18.487 -8.682 10.047
ATOMIC_POSITIONS crystal
Mg 0.000 0.000 0.207
In 0.500 0.500 0.109
Mg 0.000 0.000 0.402
Mg 0.000 0.000 0.793
Pa 0.000 0.000 0.000
In 0.500 0.500 0.891
In 0.500 0.500 0.500
Mg 0.000 0.000 0.598
In 0.500 0.500 0.696
In 0.500 0.500 0.304
! **DOS at the Fermi energy**: 7.233 states/eV/f.u.
! **SG**: P4/mmm
! **Calculated total energy**: -3.03 eV/atom
! **Size of the total moment**: 0.68 μB per formula unit
! **DFT formation energy**: -0.0699 eV/atom


Entry 5:
! Ba6P2H3Cl PBE relaxed; values from VASP
&SYSTEM
  ibrav = 0, nat = 12, ntyp = 4
/
ATOMIC_SPECIES
P 30.97 P.upf
Cl 35.45 Cl.upf
Ba 137.33 Ba.upf
H 1.01 H.upf
CELL_PARAMETERS angstrom
-3.804 2.097 -1.279
0.024 -4.540 -7.512
-3.146 -6.702 6.382
ATOMIC_POSITIONS crystal
P 0.161 0.323 0.321
Cl 0.500 0.000 0.000
P 0.839 0.677 0.679
Ba 0.667 0.577 0.334
H 0.831 0.155 0.661
Ba 0.995 0.258 0.991
Ba 0.672 0.084 0.343
H 0.169 0.845 0.339
H 0.500 0.500 0.000
Ba 0.005 0.742 0.009
Ba 0.328 0.916 0.657
Ba 0.333 0.423 0.666
! **DOS at the Fermi energy**: 5.624 states/eV/f.u.
! **SG**: C2/m
! **Calculated total energy**: -3.71 eV/atom
! **Size of the total moment**: 0.34 μB per formula unit


Entry 6:
! Pm5Pr2Ho12 PBE relaxed; values from VASP
&SYSTEM
  ibrav = 0, nat = 19, ntyp = 3
/
ATOMIC_SPECIES
Ho 164.93 Ho.upf
Pm 145.00 Pm.upf
Pr 140.91 Pr.upf
CELL_PARAMETERS angstrom
9.308 0.000 0.000
-4.654 11.347 -1.688
0.000 -5.388 6.770
ATOMIC_POSITIONS crystal
Ho 0.671 0.699 0.942
Ho 0.557 0.115 0.780
Ho 0.329 0.301 0.058
Ho 0.818 0.258 0.597
Ho 0.920 0.839 0.717
Pm 0.230 0.460 0.888
Ho 0.182 0.742 0.403
Pm 0.000 0.000 0.500
Ho 0.561 0.742 0.403
Pr 0.678 0.000 0.000
Pm 0.705 0.410 0.393
Pr 0.322 0.000 0.000
Ho 0.080 0.161 0.283
Pm 0.770 0.540 0.112
Ho 0.443 0.885 0.220
Ho 0.972 0.301 0.058
Ho 0.028 0.699 0.942
Ho 0.439 0.258 0.597
Pm 0.295 0.590 0.607
! **DOS at the Fermi energy**: 26.318 states/eV/f.u.
! **SG**: C2/m
! **Calculated total energy**: -4.51 eV/atom
! **Size of the total moment**: 0.00 μB per formula unit
! **DFT formation energy**: 0.1297 eV/atom


Entry 7:
! TmTiAgPb PBE relaxed; values from VASP
&SYSTEM
  ibrav = 0, nat = 4, ntyp = 4
/
ATOMIC_SPECIES
Ti 47.87 Ti.upf
Pb 207.20 Pb.upf
Ag 107.87 Ag.upf
Tm 168.93 Tm.upf
CELL_PARAMETERS angstrom
5.024 0.000 0.000
2.512 4.351 0.000
2.512 1.450 4.102
ATOMIC_POSITIONS crystal
Ti 0.250 0.250 0.250
Pb 0.000 0.000 0.000
Ag 0.500 0.500 0.500
Tm 0.750 0.750 0.750
! **DOS at the Fermi energy**: 3.050 states/eV/f.u.
! **SG**: F-43m
! **Calculated total energy**: -4.83 eV/atom
! **Size of the total moment**: 2.02 μB per formula unit
! **DFT formation energy**: -0.0995 eV/atom


Entry 8:
! Pm2SmTm6 PBE relaxed; values from VASP
&SYSTEM
  ibrav = 0, nat = 9, ntyp = 3
/
ATOMIC_SPECIES
Pm 145.00 Pm.upf
Tm 168.93 Tm.upf
Sm 150.36 Sm.upf
CELL_PARAMETERS angstrom
3.520 0.000 0.000
0.000 8.352 -4.822
0.000 0.000 9.644
ATOMIC_POSITIONS crystal
Pm 0.738 0.333 0.667
Tm 0.231 0.327 0.977
Tm 0.231 0.023 0.350
Tm 0.769 0.673 0.023
Sm 0.500 0.000 0.000
Pm 0.262 0.667 0.333
Tm 0.769 0.977 0.650
Tm 0.769 0.350 0.327
Tm 0.231 0.650 0.673
! **DOS at the Fermi energy**: 14.755 states/eV/f.u.
! **SG**: P-3
! **Calculated total energy**: -4.49 eV/atom
! **Size of the total moment**: 0.00 μB per formula unit
! **DFT formation energy**: 0.0715 eV/atom


Entry 9:
! Sr2Zn3Ge4Ir PBE relaxed; values from VASP
&SYSTEM
  ibrav = 0, nat = 10, ntyp = 4
/
ATOMIC_SPECIES
Ge 72.64 Ge.upf
Zn 65.41 Zn.upf
Ir 192.22 Ir.upf
Sr 87.62 Sr.upf
CELL_PARAMETERS angstrom
4.374 0.000 0.000
0.000 4.374 0.000
0.000 0.000 10.651
ATOMIC_POSITIONS crystal
Ge 0.000 0.000 0.000
Zn 0.500 0.000 0.865
Ir 0.500 0.500 0.500
Zn 0.000 0.500 0.135
Sr 0.000 0.500 0.746
Zn 0.000 0.000 0.500
Ge 0.500 0.000 0.624
Ge 0.500 0.500 0.000
Sr 0.500 0.000 0.254
Ge 0.000 0.500 0.376
! **DOS at the Fermi energy**: 3.241 states/eV/f.u.
! **SG**: P-4m2
! **Calculated total energy**: -3.82 eV/atom
! **Size of the total moment**: 0.00 μB per formula unit
! **DFT formation energy**: -0.3717 eV/atom


Entry 10:
! Cd5In12Ga2 PBE relaxed; values from VASP
&SYSTEM
  ibrav = 0, nat = 19, ntyp = 3
/
ATOMIC_SPECIES
Cd 112.41 Cd.upf
Ga 69.72 Ga.upf
In 114.82 In.upf
CELL_PARAMETERS angstrom
-0.944 -2.908 4.850
-1.555 -8.711 -3.803
8.032 -5.315 0.100
ATOMIC_POSITIONS crystal
Cd 0.833 0.308 0.308
Cd 0.400 0.203 0.203
Ga 0.000 0.751 0.249
In 0.948 0.102 0.102
In 0.802 0.463 0.926
In 0.621 0.160 0.643
Ga 0.000 0.249 0.751
In 0.052 0.898 0.898
In 0.198 0.537 0.074
In 0.198 0.074 0.537
Cd 0.500 0.000 0.000
In 0.621 0.643 0.160
In 0.802 0.926 0.463
Cd 0.600 0.797 0.797
In 0.269 0.445 0.445
In 0.731 0.555 0.555
Cd 0.167 0.692 0.692
In 0.379 0.840 0.357
In 0.379 0.357 0.840
! **DOS at the Fermi energy**: 6.591 states/eV/f.u.
! **SG**: C2/m
! **Calculated total energy**: -2.25 eV/atom
! **Size of the total moment**: 0.00 μB per formula unit
! **DFT formation energy**: 0.0404 eV/atom


Entry 11:
! SnBi2Au2 PBE relaxed; values from VASP
&SYSTEM
  ibrav = 0, nat = 10, ntyp = 3
/
ATOMIC_SPECIES
Bi 208.98 Bi.upf
Au 196.97 Au.upf
Sn 118.71 Sn.upf
CELL_PARAMETERS angstrom
7.656 0.000 0.000
0.000 7.656 0.000
0.000 0.000 4.355
ATOMIC_POSITIONS crystal
Bi 0.175 0.675 0.500
Au 0.369 0.869 0.000
Bi 0.675 0.825 0.500
Au 0.131 0.369 0.000
Bi 0.825 0.325 0.500
Au 0.631 0.131 0.000
Au 0.869 0.631 0.000
Sn 0.000 0.000 0.000
Sn 0.500 0.500 0.000
Bi 0.325 0.175 0.500
! **DOS at the Fermi energy**: 2.072 states/eV/f.u.
! **SG**: P4/mbm
! **Calculated total energy**: -3.67 eV/atom
! **Size of the total moment**: 0.00 μB per formula unit
! **DFT formation energy**: -0.0078 eV/atom


Entry 12:
! B2C PBE relaxed; values from VASP
&SYSTEM
  ibrav = 0, nat = 18, ntyp = 2
/
ATOMIC_SPECIES
C 12.01 C.upf
B 10.81 B.upf
CELL_PARAMETERS angstrom
2.747 0.000 0.000
-1.374 2.379 0.000
0.000 0.000 18.479
ATOMIC_POSITIONS crystal
C 0.333 0.667 0.966
B 0.667 0.333 0.446
C 0.000 0.000 0.753
B 0.333 0.667 0.883
C 0.667 0.333 0.632
B 0.667 0.333 0.171
B 0.333 0.667 0.504
C 0.000 0.000 0.299
B 0.000 0.000 0.837
B 0.667 0.333 0.995
B 0.000 0.000 0.113
C 0.667 0.333 0.086
B 0.667 0.333 0.549
C 0.333 0.667 0.419
B 0.333 0.667 0.780
B 0.333 0.667 0.329
B 0.000 0.000 0.662
B 0.000 0.000 0.216
! **DOS at the Fermi energy**: 0.444 states/eV/f.u.
! **SG**: R3m
! **Calculated total energy**: -7.25 eV/atom
! **Size of the total moment**: 0.00 μB per formula unit
! **DFT formation energy**: 0.2750 eV/atom


> Look up the size of the total moment of the first one.

0.00 μB per formula unit